(1)
First-principles (PBE-GGA) data for Sr3N after structural relaxation, as listed in the Alexandria database.

abc: 3.5411 6.8981 6.9849
angles: 119.59 104.68 90.00
Closest atoms and distances in Å follow each position.
Fractional positions:
1 Sr 0.3559 0.7577 0.7117  2 N 2.62
2 Sr 0.5000 0.3200 0.0000  2 N 2.61
3 Sr 0.6441 0.0460 0.2883  2 N 2.62
4 N 0.0000 0.0430 0.0000  6 Sr 2.61-2.62

Results
Space group: Imm2
N(E_F) in states/eV/cell: 2.8
Uncorrected energy in eV/atom: -3.642


(2)
First-principles (PBE-GGA) data for SrN after structural relaxation, as listed in the Alexandria database.

abc: 3.8060 3.8060 3.8060
angles: 60.00 60.00 60.00
Closest atoms and distances in Å follow each position.
Fractional positions:
1 Sr 0.0000 0.0000 0.0000  6 N 2.69
2 N 0.5000 0.5000 0.5000  6 Sr 2.69

Results
Space group: Fm-3m
N(E_F) in states/eV/cell: 3.0
Uncorrected energy in eV/atom: -5.102


(3)
First-principles (PBE-GGA) data for SrN4 after structural relaxation, as listed in the Alexandria database.

abc: 4.4431 4.4431 4.7903
angles: 91.84 91.84 59.24
Closest atoms and distances in Å follow each position.
Fractional positions:
1 Sr 0.0000 0.0000 0.0000  6 N 2.65
2 N 0.6656 0.6656 0.8515  1 N 1.19
3 N 0.3344 0.3344 0.1485  1 N 1.19
4 N 0.6608 0.6608 0.6039  1 N 1.19
5 N 0.3392 0.3392 0.3961  1 N 1.19

Results
Space group: C2/m
N(E_F) in states/eV/cell: 3.2
Uncorrected energy in eV/atom: -7.033


(4)
First-principles (PBE-GGA) data for Sr3N after structural relaxation, as listed in the Alexandria database.

abc: 3.5401 10.4107 10.4107
angles: 120.00 90.00 90.00
Closest atoms and distances in Å follow each position.
Fractional positions:
1 Sr 0.7500 0.1822 0.4611  2 N 2.61
2 Sr 0.2500 0.7211 0.1822  2 N 2.61
3 Sr 0.2500 0.8178 0.5389  2 N 2.61
4 Sr 0.7500 0.2789 0.8178  2 N 2.61
5 Sr 0.7500 0.5389 0.7211  2 N 2.61
6 Sr 0.2500 0.4611 0.2789  2 N 2.61
7 N 0.7500 0.6667 0.3333  6 Sr 2.61
8 N 0.2500 0.3333 0.6667  6 Sr 2.61

Results
Space group: P6_3/m
N(E_F) in states/eV/cell: 6.5
Uncorrected energy in eV/atom: -3.523


(5)
First-principles (PBE-GGA) data for SrN2 after structural relaxation, as listed in the Alexandria database.

abc: 4.1640 4.1640 4.1640
angles: 124.95 124.95 81.63
Closest atoms and distances in Å follow each position.
Fractional positions:
1 Sr 0.0000 0.0000 0.0000  10 N 2.52-2.79
2 N 0.5995 0.5995 0.0000  1 N 1.25
3 N 0.4005 0.4005 0.0000  1 N 1.25

Results
Space group: I4/mmm
N(E_F) in states/eV/cell: 1.9
Uncorrected energy in eV/atom: -6.610


(6)
First-principles (PBE-GGA) data for SrN after structural relaxation, as listed in the Alexandria database.

abc: 7.0885 7.0885 7.0885
angles: 90.00 90.00 90.00
Closest atoms and distances in Å follow each position.
Fractional positions:
1 Sr 0.2500 0.5000 0.0000  4 N 2.51
2 Sr 0.7500 0.5000 0.0000  4 N 2.51
3 Sr 0.5000 0.0000 0.2500  4 N 2.51
4 Sr 0.5000 0.0000 0.7500  4 N 2.51
5 Sr 0.0000 0.2500 0.5000  4 N 2.51
6 Sr 0.0000 0.7500 0.5000  4 N 2.51
7 N 0.2500 0.0000 0.5000  4 Sr 2.51
8 N 0.7500 0.0000 0.5000  4 Sr 2.51
9 N 0.0000 0.5000 0.2500  4 Sr 2.51
10 N 0.0000 0.5000 0.7500  4 Sr 2.51
11 N 0.5000 0.2500 0.0000  4 Sr 2.51
12 N 0.5000 0.7500 0.0000  4 Sr 2.51

Results
Space group: Pm-3n
N(E_F) in states/eV/cell: 8.8
Uncorrected energy in eV/atom: -4.885